Record 1
Material: NaTl2Pt
Method: DFT, PBE-GGA
State: optimized geometry

The calculation puts the theoretical density at 10096 kg/m3. The value obtained for the formation enthalpy at 0 K is -0.151 eV per atom. The value obtained for the total magnetization is 0.00 μB/f.u.

The structure belongs to space group R3m (No. 160, hexagonal axes); the cell edges are 4.6100, 4.6100 and 16.8057 Å and the angles 90.00°, 90.00° and 120.00°. The inequivalent atoms are Na at (0.0000, 0.0000, 0.0000), Tl at (0.0000, 0.0000, 0.2227), Tl at (0.0000, 0.0000, 0.4298) and Pt at (0.0000, 0.0000, 0.8192).

***

Record 2
Material: Na2Tl3Pt
Method: DFT, PBE-GGA
State: optimized geometry

The calculation puts the theoretical density at 8467 kg/m3. The value obtained for the formation enthalpy at 0 K is -0.061 eV per atom. The value obtained for the total magnetization is 0.00 μB/f.u.

The structure belongs to space group Ibam (No. 72); the cell edges are 7.253, 9.507 and 9.718 Å and the angles 90.00°, 90.00° and 90.00°. The inequivalent atoms are Na at (0.246, 0.247, 0.000), Tl at (0.000, 0.000, 0.250), Tl at (0.000, 0.340, 0.250) and Pt at (0.000, 0.500, 0.000).

***

Record 3
Material: NaTl2Pt
Method: DFT, PBE-GGA
State: optimized geometry

The calculation puts the theoretical density at 9409 kg/m3. The value obtained for the formation enthalpy at 0 K is -0.008 eV per atom. The value obtained for the total magnetization is 0.00 μB/f.u.

The structure belongs to space group Immm (No. 71); the cell edges are 3.091, 4.975 and 14.387 Å and the angles 90.00°, 90.00° and 90.00°. The inequivalent atoms are Na at (0.000, 0.000, 0.000), Tl at (0.000, 0.000, 0.312) and Pt at (0.000, 0.000, 0.500).

***

Record 4
Material: NaTl2Pt
Method: DFT, PBE-GGA
State: optimized geometry

The calculation puts the theoretical density at 9365 kg/m3. The value obtained for the formation enthalpy at 0 K is -0.048 eV per atom. The value obtained for the total magnetization is 0.00 μB/f.u.

The structure belongs to space group I-42d (No. 122); the cell edges are 8.657, 8.657 and 5.933 Å and the angles 90.00°, 90.00° and 90.00°. The inequivalent atoms are Na at (0.000, 0.000, 0.000), Tl at (0.177, 0.250, 0.625) and Pt at (0.000, 0.000, 0.500).

***

Record 5
Material: Na3Tl4Pt
Method: DFT, PBE-GGA
State: optimized geometry

The calculation puts the theoretical density at 8974 kg/m3. The value obtained for the formation enthalpy at 0 K is -0.104 eV per atom. The value obtained for the total magnetization is 0.00 μB/f.u.

The structure belongs to space group C2/m (No. 12); the cell edges are 6.857, 6.912 and 9.085 Å and the angles 90.00°, 111.64° and 90.00°. The inequivalent atoms are Na at (0.000, 0.000, 0.000), Na at (0.247, 0.500, 0.493), Tl at (0.140, 0.250, 0.778) and Pt at (0.000, 0.500, 0.000).

***

Record 6
Material: NaTl6Pt6
Method: DFT, PBE-GGA
State: optimized geometry

The calculation puts the theoretical density at 14827 kg/m3. The value obtained for the formation enthalpy at 0 K is -0.125 eV per atom. The value obtained for the total magnetization is 0.00 μB/f.u.

The structure belongs to space group Immm (No. 71); the cell edges are 5.669, 9.657 and 9.900 Å and the angles 90.00°, 90.00° and 90.00°. The inequivalent atoms are Na at (0.000, 0.000, 0.000), Tl at (0.000, 0.000, 0.337), Tl at (0.000, 0.327, 0.000), Tl at (0.000, 0.500, 0.330), Pt at (0.000, 0.262, 0.500) and Pt at (0.250, 0.250, 0.250).

***

Record 7
Material: Na2Tl3Pt
Method: DFT, PBE-GGA
State: optimized geometry

The calculation puts the theoretical density at 7900 kg/m3. The value obtained for the formation enthalpy at 0 K is -0.046 eV per atom. The value obtained for the total magnetization is 0.00 μB/f.u.

The structure belongs to space group Immm (No. 71); the cell edges are 4.139, 5.414 and 16.023 Å and the angles 90.00°, 90.00° and 90.00°. The inequivalent atoms are Na at (0.000, 0.000, 0.225), Tl at (0.000, 0.500, 0.117), Tl at (0.000, 0.500, 0.500) and Pt at (0.000, 0.000, 0.500).

***

Record 8
Material: Na3TlPt
Method: DFT, PBE-GGA
State: optimized geometry

The calculation puts the theoretical density at 4816 kg/m3. The value obtained for the formation enthalpy at 0 K is 0.121 eV per atom. The value obtained for the total magnetization is 0.00 μB/f.u.

The structure belongs to space group Pm-3m (No. 221); the cell edges are 5.446, 5.446 and 5.446 Å and the angles 90.00°, 90.00° and 90.00°. The inequivalent atoms are Na at (0.000, 0.000, 0.500), Tl at (0.500, 0.500, 0.500) and Pt at (0.000, 0.000, 0.000).